{"formula": "Cs2RbMgHg", "functional": "PBE-GGA", "state": "optimized geometry", "lattice": [[7.5224, 0.0000, 0.0000], [0.0000, 7.5224, 0.0000], [0.0000, 0.0000, 5.6557]], "species": ["Cs", "Cs", "Mg", "Hg", "Rb"], "fractional_positions": [[0.0000, 0.5000, 0.0000], [0.5000, 0.0000, 0.0000], [0.0000, 0.0000, 0.5000], [0.0000, 0.0000, 0.0000], [0.5000, 0.5000, 0.5000]], "relative_energy_kj_per_mol_atoms": 0.00, "sg": "P4/mmm (123)", "dos_ef_per_ev_cell": 4.026, "crystal_system": "tetragonal", "e_form_mev_per_atom": 20.7, "e_tot_ry_per_atom": -0.0657}